# LiAg3Ge | Alexandria via LeMat-Bulk | GGA-PBE | relaxed
# VASP energy: -3.124 eV/atom
# calculated volume: 168 Å³ per cell
# distance to the lowest polymorph of the same formula: 0 meV/atom
# formation energy: -0.1070 eV/atom
data_LiAg3Ge
_symmetry_space_group_name_H-M 'P 1'
_symmetry_Int_Tables_number 1
_symmetry_space_group_name_Hall 'P 1'
_cell_length_a 4.5245
_cell_length_b 4.4910
_cell_length_c 8.5841
_cell_angle_alpha 90.00
_cell_angle_beta 105.25
_cell_angle_gamma 90.00
loop_
_atom_site_label
_atom_site_type_symbol
_atom_site_fract_x
_atom_site_fract_y
_atom_site_fract_z
_atom_site_occupancy
Li1 Li 0.1518 0.2500 0.3059 1
Li2 Li 0.8482 0.7500 0.6941 1
Ag1 Ag 0.0570 0.7500 0.1111 1
Ag2 Ag 0.2510 0.7500 0.4985 1
Ag3 Ag 0.4447 0.7500 0.8878 1
Ag4 Ag 0.5553 0.2500 0.1122 1
Ag5 Ag 0.7490 0.2500 0.5015 1
Ag6 Ag 0.9430 0.2500 0.8889 1
Ge1 Ge 0.3452 0.2500 0.6963 1
Ge2 Ge 0.6548 0.7500 0.3037 1